Record 1
The following is a DFT calculation (GGA-PBE) of crystalline ZrI3 at its relaxed geometry.

POSCAR file:
```
ZrI3
1.0
3.7155 0.0000 0.0000
0.0000 7.7679 0.0000
-1.8577 -3.8839 6.3918
I Zr
3 1
Cartesian
0.0000 3.0793 4.4345
1.8577 2.5812 0.0000
1.8577 -0.8046 1.9573
0.0000 0.3227 0.0000
```

## Properties
Its space group is No. 44. The value obtained for the formation energy from raw total energies is -841 meV/atom.

***

Record 2
The following is a DFT calculation (GGA-PBE) of crystalline RbNaBi2Pt at its relaxed geometry.

POSCAR file:
```
RbNaBi2Pt
1.0
6.0527 0.0000 0.0000
0.0000 5.1584 0.0000
0.0000 0.0000 6.0527
Na Rb Bi Pt
1 1 2 1
Cartesian
0.0000 2.5792 0.0000
0.0000 0.0000 0.0000
0.0000 0.0000 3.0264
3.0264 0.0000 0.0000
3.0264 2.5792 3.0264
```

## Properties
Its space group is No. 123. The energy of formation from the pure elements is 1.3875 eV per atom.

***

| no. | DOS(E_F) (states/eV/f.u.) | raw total energy (eV/atom) | total magnetization (Bohr magnetons per cell) |
| --- | --- | --- | --- |
| 1 | 2.2 | -4.14 | 0.37 |
| 2 | 4.3 | -1.83 | 0.00 |